The following is a PBE-GGA calculation of Be2ZnCr after structural relaxation, from Alexandria via LeMat-Bulk.

Unit cell a=6.0737 b=6.0737 c=4.9405 alpha=52.07 beta=52.07 gamma=90.00
Fractional positions:
Zn1 0.7500 0.2500 0.5000
Be1 0.8750 0.8819 0.7500
Cr1 0.2500 0.7500 0.5000
Be2 0.3750 0.3681 0.7500
Be3 0.1181 0.6250 0.2500
Zn2 0.0000 0.0000 0.0000
Cr2 0.5000 0.5000 0.0000
Be4 0.6319 0.1250 0.2500

Values from the calculation:
Energy   -4.01 eV/atom
Formation enthalpy at 0 K   0.5729 eV per atom
Symmetry   I-42d
Volume   90.09 Å³/cell
Total magnetization   0.00 μB per formula unit